Density functional theory data (PBE+U) for a relaxed structure of NiH12SO10.

Output
V = 8.9 Å³ per atom
E_tot = -123.856 eV/f.u.

Cell lengths 6.8173, 6.8173, 18.4359 Å; angles 90.00, 90.00, 90.00 degrees
Last column: magnetic moment on the atom in μB.
Fractional positions:
1 H 0.2567 0.9215 0.0961  0.00
2 H 0.0785 0.7433 0.4039  0.00
3 H 0.5774 0.1495 0.0428  0.00
4 H 0.4604 0.6200 0.5580  0.00
5 H 0.1495 0.5774 0.9572  0.00
6 H 0.9964 0.4733 0.0671  0.00
7 H 0.9215 0.2567 0.9039  0.00
8 H 0.4964 0.0267 0.6829  0.00
9 H 0.7567 0.5785 0.6539  0.00
10 H 0.0774 0.3505 0.7072  0.00
11 H 0.5396 0.3800 0.0580  0.00
12 H 0.0110 0.7214 0.6179  0.00
13 H 0.3800 0.5396 0.9420  0.00
14 H 0.9604 0.8800 0.1920  0.00
15 H 0.6200 0.4604 0.4420  0.00
16 H 0.9226 0.6495 0.2072  0.00
17 H 0.9733 0.5036 0.8171  0.00
18 H 0.4890 0.2214 0.6321  0.00
19 H 0.0794 0.8550 0.0420  0.00
20 H 0.0036 0.5267 0.5671  0.00
21 H 0.2214 0.4890 0.3679  0.00
22 H 0.3550 0.4206 0.7920  0.00
23 H 0.0267 0.4964 0.3171  0.00
24 H 0.8800 0.9604 0.8080  0.00
25 H 0.6495 0.9226 0.7928  0.00
26 H 0.5785 0.7567 0.3461  0.00
27 H 0.8505 0.4226 0.4572  0.00
28 H 0.8550 0.0794 0.9580  0.00
29 H 0.7433 0.0785 0.5961  0.00
30 H 0.5794 0.6450 0.7080  0.00
31 H 0.5036 0.9733 0.1829  0.00
32 H 0.9206 0.1450 0.5420  0.00
33 H 0.7214 0.0110 0.3821  0.00
34 H 0.1200 0.0396 0.3080  0.00
35 H 0.5267 0.0036 0.4329  0.00
36 H 0.0396 0.1200 0.6920  0.00
37 H 0.6450 0.5794 0.2920  0.00
38 H 0.1450 0.9206 0.4580  0.00
39 H 0.3505 0.0774 0.2928  0.00
40 H 0.7786 0.5110 0.8679  0.00
41 H 0.4226 0.8505 0.5428  0.00
42 H 0.4206 0.3550 0.2080  0.00
43 H 0.9890 0.2786 0.1179  0.00
44 H 0.2786 0.9890 0.8821  0.00
45 H 0.5110 0.7786 0.1321  0.00
46 H 0.2433 0.4215 0.1539  0.00
47 H 0.4215 0.2433 0.8461  0.00
48 H 0.4733 0.9964 0.9329  0.00
49 O 0.4254 0.8628 0.1633  0.03
50 O 0.7479 0.0219 0.8060  0.03
51 O 0.1113 0.8694 0.6842  0.03
52 O 0.0457 0.8181 0.4484  0.03
53 O 0.6372 0.9254 0.4133  0.03
54 O 0.4268 0.8254 0.7437  0.02
55 O 0.3694 0.3887 0.4342  0.03
56 O 0.1306 0.8887 0.8158  0.03
57 O 0.6746 0.9268 0.9937  0.02
58 O 0.3887 0.3694 0.5658  0.03
59 O 0.2479 0.4781 0.9440  0.03
60 O 0.9543 0.1819 0.9484  0.03
61 O 0.9254 0.6372 0.5867  0.03
62 O 0.3254 0.0732 0.4937  0.02
63 O 0.5457 0.6819 0.3016  0.03
64 O 0.7521 0.5219 0.4440  0.03
65 O 0.5746 0.1372 0.6633  0.03
66 O 0.2521 0.9781 0.3060  0.03
67 O 0.5732 0.1746 0.2437  0.02
68 O 0.9268 0.6746 0.0063  0.02
69 O 0.8181 0.0457 0.5516  0.03
70 O 0.9781 0.2521 0.6940  0.03
71 O 0.1746 0.5732 0.7563  0.02
72 O 0.6819 0.5457 0.6984  0.03
73 O 0.4543 0.3181 0.8016  0.03
74 O 0.8254 0.4268 0.2563  0.02
75 O 0.8694 0.1113 0.3158  0.03
76 O 0.1819 0.9543 0.0516  0.03
77 O 0.4781 0.2479 0.0560  0.03
78 O 0.3181 0.4543 0.1984  0.03
79 O 0.1372 0.5746 0.3367  0.03
80 O 0.5219 0.7521 0.5560  0.03
81 O 0.6113 0.6306 0.0658  0.03
82 O 0.8887 0.1306 0.1842  0.03
83 O 0.3628 0.0746 0.9133  0.03
84 O 0.6306 0.6113 0.9342  0.03
85 O 0.0732 0.3254 0.5063  0.02
86 O 0.8628 0.4254 0.8367  0.03
87 O 0.0219 0.7479 0.1940  0.03
88 O 0.0746 0.3628 0.0867  0.03
89 Ni 0.7853 0.7853 0.5000  1.81
90 Ni 0.7147 0.2853 0.7500  1.81
91 Ni 0.2147 0.2147 0.0000  1.81
92 Ni 0.2853 0.7147 0.2500  1.81
93 S 0.7893 0.2107 0.2500  0.00
94 S 0.2107 0.7893 0.7500  0.00
95 S 0.7107 0.7107 0.0000  0.00
96 S 0.2893 0.2893 0.5000  0.00